{"formula": "Na4TlAu", "functional": "PBE", "state": "optimized geometry", "spacegroup": "C2/m", "magnetic_moment_mub_per_fu": 0.00, "energy_ev_per_atom": -1.9889, "e_form_mev_per_atom": -169, "lattice_angstrom": [[5.5498, 0.0000, -0.4576], [0.0000, 8.0261, 0.0000], [-2.1055, -4.0131, 7.9400]], "species": ["Na", "Na", "Na", "Na", "Na", "Na", "Na", "Na", "Au", "Au", "Tl", "Tl"], "frac_coords": [[0.1764, 0.6770, 0.3541], [0.3705, 0.6218, 0.7381], [0.3705, 0.1163, 0.7381], [0.0000, 0.8145, 0.0000], [0.6295, 0.8837, 0.2619], [0.6295, 0.3782, 0.2619], [0.8236, 0.3230, 0.6459], [0.0000, 0.1855, 0.0000], [0.2543, 0.4999, 0.9997], [0.7457, 0.5001, 0.0003], [0.8086, 0.8065, 0.6131], [0.1914, 0.1935, 0.3869]]}